1.
{"formula": "Tm11Tl9Ir4", "functional": "PBE", "state": "relaxed", "cell": [[-3.4815, 0.2861, -1.1364], [1.3081, -11.1337, -6.8102], [-4.1727, -2.0814, 12.2600]], "species": ["Tm", "Tm", "Tm", "Tm", "Tm", "Tm", "Tm", "Tm", "Tm", "Tm", "Tm", "Tl", "Tl", "Tl", "Tl", "Tl", "Tl", "Tl", "Tl", "Tl", "Ir", "Ir", "Ir", "Ir"], "frac_coords": [[0.0000, 0.5821, 0.9157], [0.0000, 0.4179, 0.0843], [0.0000, 0.9157, 0.5821], [0.0000, 0.0843, 0.4179], [0.0000, 0.6259, 0.3741], [0.0000, 0.3741, 0.6259], [0.0000, 0.8370, 0.1630], [0.0000, 0.1630, 0.8370], [0.0000, 0.0000, 0.0000], [0.0000, 0.6878, 0.6878], [0.0000, 0.3122, 0.3122], [0.5000, 0.6314, 0.1495], [0.5000, 0.3686, 0.8505], [0.5000, 0.1495, 0.6314], [0.5000, 0.8505, 0.3686], [0.5000, 0.7850, 0.9326], [0.5000, 0.2150, 0.0674], [0.5000, 0.9326, 0.7850], [0.5000, 0.0674, 0.2150], [0.5000, 0.5000, 0.5000], [0.5000, 0.5498, 0.7503], [0.5000, 0.4502, 0.2497], [0.5000, 0.7503, 0.5498], [0.5000, 0.2497, 0.4502]], "ef_ev_per_fu": -12.8}


2.
{"formula": "TlCuPb2", "functional": "PBE", "state": "relaxed", "cell": [[-1.5148, 4.1463, 4.7206], [-4.9538, -1.3985, 3.9082], [5.8365, -1.5367, -2.3118]], "species": ["Cu", "Pb", "Pb", "Tl"], "frac_coords": [[0.2500, 0.7500, 0.5000], [0.0456, 0.0456, 0.0000], [0.4544, 0.4544, 0.0000], [0.7500, 0.2500, 0.5000]], "ef_ev_per_fu": 0.7}


3.
{"formula": "SbPd3Pb", "functional": "PBE", "state": "relaxed", "cell": [[5.6196, 0.0000, 0.0000], [0.0000, 8.7409, -0.1047], [0.0000, -2.8787, 8.4940]], "species": ["Sb", "Sb", "Sb", "Sb", "Pd", "Pd", "Pd", "Pd", "Pd", "Pd", "Pd", "Pd", "Pd", "Pd", "Pd", "Pd", "Pb", "Pb", "Pb", "Pb"], "frac_coords": [[0.8214, 0.4491, 0.1368], [0.3214, 0.0509, 0.3632], [0.1786, 0.5509, 0.8632], [0.6786, 0.9491, 0.6368], [0.1993, 0.3694, 0.5454], [0.3007, 0.8694, 0.0454], [0.5717, 0.2879, 0.2972], [0.0717, 0.2121, 0.2028], [0.4283, 0.7121, 0.7028], [0.8007, 0.6306, 0.4546], [0.8456, 0.1042, 0.4504], [0.1544, 0.8958, 0.5496], [0.6993, 0.1306, 0.9546], [0.9283, 0.7879, 0.7972], [0.6544, 0.6042, 0.9504], [0.3456, 0.3958, 0.0496], [0.2954, 0.5856, 0.3704], [0.7046, 0.4144, 0.6296], [0.2046, 0.0856, 0.8704], [0.7954, 0.9144, 0.1296]], "formation_energy_uncorrected_ev_per_fu": -1.48, "relative_energy_ev_per_atom": 0.0000}


4.
{"formula": "NaPm3Rh4O12", "functional": "PBE", "state": "relaxed", "cell": [[6.8654, 0.0000, 0.0000], [-2.2885, 6.4728, 0.0000], [-2.2885, -3.2364, 5.6056]], "species": ["Na", "Pm", "Pm", "Pm", "Rh", "Rh", "Rh", "Rh", "O", "O", "O", "O", "O", "O", "O", "O", "O", "O", "O", "O"], "frac_coords": [[0.0000, 0.0000, 0.0000], [0.0000, 0.5000, 0.5000], [0.5000, 0.5000, 0.0000], [0.5000, 0.0000, 0.5000], [0.5000, 0.0000, 0.0000], [0.5000, 0.5000, 0.5000], [0.0000, 0.5000, 0.0000], [0.0000, 0.0000, 0.5000], [0.3030, 0.7807, 0.0837], [0.6970, 0.2193, 0.9163], [0.6970, 0.7807, 0.4777], [0.9163, 0.6970, 0.2193], [0.7807, 0.0837, 0.3030], [0.2193, 0.5223, 0.3030], [0.5223, 0.3030, 0.2193], [0.2193, 0.9163, 0.6970], [0.3030, 0.2193, 0.5223], [0.0837, 0.3030, 0.7807], [0.7807, 0.4777, 0.6970], [0.4777, 0.6970, 0.7807]], "formation_energy_uncorrected_ev_per_fu": -34.71}


5.
{"formula": "Pr7Dy3", "functional": "PBE", "state": "relaxed", "cell": [[-2.6760, -2.0760, -5.2638], [9.5946, -5.5192, -2.7010], [-8.0411, -5.2281, 6.1498]], "species": ["Pr", "Pr", "Pr", "Pr", "Pr", "Pr", "Pr", "Pr", "Pr", "Pr", "Pr", "Pr", "Pr", "Pr", "Dy", "Dy", "Dy", "Dy", "Dy", "Dy"], "frac_coords": [[0.9436, 0.6667, 0.3333], [0.4436, 0.3333, 0.6667], [0.8746, 0.8830, 0.7660], [0.8746, 0.8830, 0.1170], [0.8746, 0.2340, 0.1170], [0.3746, 0.1170, 0.2340], [0.3746, 0.1170, 0.8830], [0.3746, 0.7660, 0.8830], [0.2495, 0.4733, 0.9465], [0.2495, 0.4733, 0.5267], [0.2495, 0.0535, 0.5267], [0.7495, 0.5267, 0.0535], [0.7495, 0.5267, 0.4733], [0.7495, 0.9465, 0.4733], [0.8640, 0.2204, 0.4407], [0.8640, 0.2204, 0.7796], [0.8640, 0.5593, 0.7796], [0.3640, 0.7796, 0.5593], [0.3640, 0.7796, 0.2204], [0.3640, 0.4407, 0.2204]], "ef_ev_per_fu": 1.7, "relative_energy_ev_per_atom": 0.1510}


6.
{"formula": "ReAg2Ir", "functional": "PBE", "state": "relaxed", "cell": [[2.7467, 0.0108, 0.0000], [-1.2885, 2.4258, 0.0000], [0.0000, 0.0000, 9.8078]], "species": ["Re", "Ir", "Ag", "Ag"], "frac_coords": [[0.5000, 0.5000, 0.7362], [0.0000, 0.0000, 0.5135], [0.0000, 0.0000, 0.9961], [0.5000, 0.5000, 0.2542]], "ef_ev_per_fu": 1.4, "relative_energy_ev_per_atom": 0.1520}